Compound: TaCoAs2
Source: the Alexandria database
Functional: PBE
Structure: optimized geometry

Lattice parameters (Å, degrees): 2.8845 4.3715 5.1936 90.00 105.68 90.00
Space group Pm (No. 6)
Symmetry-distinct sites (fractional):
Ta (0.0000, 0.0000, 0.0000) x1
Co (0.3722, 0.5000, 0.7317) x1
As (0.2764, 0.0000, 0.5498) x1
As (0.5978, 0.5000, 0.1963) x1

Calculated values
Energy relative to the lowest polymorph listed for this composition ... 0.101 eV per atom
Energy relative to the elements ... -0.0738 eV per atom

=====

Compound: TaCo2As
Source: the Alexandria database
Functional: PBE
Structure: optimized geometry

Lattice parameters (Å, degrees): 2.8519 2.8519 24.2197 90.00 90.00 120.00
Space group R3m (No. 160, hexagonal axes)
Symmetry-distinct sites (fractional):
Ta (0.0000, 0.0000, 0.0000) x3
Co (0.0000, 0.0000, 0.2464) x3
Co (0.0000, 0.0000, 0.5026) x3
As (0.0000, 0.0000, 0.7607) x3

Calculated values
Energy relative to the elements ... 0.2343 eV per atom

=====

Compound: TaCo2As2
Source: the Alexandria database
Functional: PBE
Structure: optimized geometry

Lattice parameters (Å, degrees): 6.9874 6.9874 2.8371 90.00 90.00 90.00
Space group P4/mbm (No. 127)
Symmetry-distinct sites (fractional):
Ta (0.0000, 0.0000, 0.0000) x2
Co (0.1415, 0.3585, 0.5000) x4
As (0.1524, 0.6524, 0.0000) x4

Calculated values
Energy relative to the elements ... -0.0825 eV per atom

=====

Compound: TaCo3As
Source: the Alexandria database
Functional: PBE
Structure: optimized geometry

Lattice parameters (Å, degrees): 4.4822 4.4822 4.4822 90.00 90.00 90.00
Space group Pm-3m (No. 221)
Symmetry-distinct sites (fractional):
Ta (0.0000, 0.0000, 0.0000) x1
Co (0.0000, 0.0000, 0.5000) x3
As (0.5000, 0.5000, 0.5000) x1

Calculated values
Energy relative to the lowest polymorph listed for this composition ... 0.720 eV per atom
Energy relative to the elements ... 1.4212 eV per atom

=====

Compound: TaCo3As
Source: the Alexandria database
Functional: PBE
Structure: optimized geometry

Lattice parameters (Å, degrees): 4.2243 4.2243 4.2243 90.00 90.00 90.00
Space group Pm-3m (No. 221)
Symmetry-distinct sites (fractional):
Ta (0.0000, 0.0000, 0.0000) x1
Co (0.0000, 0.5000, 0.5000) x3
As (0.5000, 0.5000, 0.5000) x1

Calculated values
Energy relative to the lowest polymorph listed for this composition ... 0.000 eV per atom
Energy relative to the elements ... 0.7015 eV per atom

=====

Compound: TaCoAs2
Source: the Alexandria database
Functional: PBE
Structure: optimized geometry

Lattice parameters (Å, degrees): 3.6555 3.6555 9.1426 90.00 90.00 90.00
Space group I-4m2 (No. 119)
Symmetry-distinct sites (fractional):
Ta (0.0000, 0.0000, 0.0000) x2
Co (0.0000, 0.5000, 0.2500) x2
As (0.0000, 0.0000, 0.5000) x2
As (0.0000, 0.5000, 0.7500) x2

Calculated values
Energy relative to the lowest polymorph listed for this composition ... 0.221 eV per atom
Energy relative to the elements ... 0.0458 eV per atom